(1)
{"formula": "CeDyUO6", "functional": "PBE", "state": "optimized geometry", "e_form_raw_ev_per_atom": -3.341, "crystal_system": "trigonal", "e_tot_ev_per_atom": -9.071, "sg": "P-31c", "magmom_total_mub_per_fu": 1.0, "lattice_angstrom": [[5.813, 0.000, 0.000], [-2.906, 5.034, 0.000], [0.000, 0.000, 9.568]], "species": ["Ce", "Ce", "Dy", "Dy", "U", "U", "O", "O", "O", "O", "O", "O", "O", "O", "O", "O", "O", "O"], "fractional_positions": [[0.000, 0.000, 0.000], [0.000, 0.000, 0.500], [0.333, 0.667, 0.250], [0.667, 0.333, 0.750], [0.667, 0.333, 0.250], [0.333, 0.667, 0.750], [0.665, 0.645, 0.135], [0.980, 0.335, 0.135], [0.335, 0.980, 0.635], [0.020, 0.665, 0.865], [0.355, 0.335, 0.365], [0.980, 0.645, 0.365], [0.645, 0.980, 0.865], [0.665, 0.020, 0.365], [0.020, 0.355, 0.635], [0.355, 0.020, 0.135], [0.645, 0.665, 0.635], [0.335, 0.355, 0.865]]}

***

(2)
{"formula": "Ce2DyOs2", "functional": "PBE", "state": "optimized geometry", "crystal_system": "monoclinic", "e_tot_ev_per_atom": -7.942, "sg": "P2_1/m", "e_form_ev_per_atom": -0.16, "magmom_total_mub_per_fu": 0.0, "lattice_angstrom": [[-0.661, -3.202, -3.363], [3.068, -3.348, 2.584], [-7.292, -4.399, 5.620]], "species": ["Ce", "Ce", "Ce", "Ce", "Dy", "Dy", "Os", "Os", "Os", "Os"], "fractional_positions": [[0.250, 0.886, 0.890], [0.750, 0.114, 0.110], [0.250, 0.229, 0.541], [0.750, 0.771, 0.459], [0.250, 0.548, 0.216], [0.750, 0.452, 0.784], [0.250, 0.681, 0.634], [0.750, 0.319, 0.366], [0.250, 0.343, 0.952], [0.750, 0.657, 0.048]]}

***

(3)
{"formula": "Ce2Dy3Os2", "functional": "PBE", "state": "optimized geometry", "crystal_system": "monoclinic", "e_tot_ev_per_atom": -7.084, "sg": "C2/m", "e_form_ev_per_atom": -0.21, "magmom_total_mub_per_fu": 1.0, "lattice_angstrom": [[-0.019, 0.031, -3.847], [-4.059, -4.398, 1.908], [-3.612, 7.901, 0.082]], "species": ["Ce", "Ce", "Dy", "Dy", "Dy", "Os", "Os"], "fractional_positions": [[0.832, 0.664, 0.189], [0.168, 0.336, 0.811], [0.500, 0.000, 0.000], [0.621, 0.243, 0.423], [0.379, 0.757, 0.577], [0.811, 0.621, 0.775], [0.189, 0.379, 0.225]]}

***

(4)
{"formula": "Ce5DyOs3", "functional": "PBE", "state": "optimized geometry", "crystal_system": "monoclinic", "e_tot_ev_per_atom": -7.627, "sg": "C2/m", "e_form_ev_per_atom": -0.08, "magmom_total_mub_per_fu": 2.8, "lattice_angstrom": [[-6.714, -0.392, 3.817], [-2.850, -7.127, -0.944], [1.429, -5.283, 8.634]], "species": ["Ce", "Ce", "Ce", "Ce", "Ce", "Ce", "Ce", "Ce", "Ce", "Ce", "Dy", "Dy", "Os", "Os", "Os", "Os", "Os", "Os"], "fractional_positions": [[0.966, 0.358, 0.333], [0.300, 0.700, 0.000], [0.768, 0.768, 0.035], [0.427, 0.427, 0.373], [0.573, 0.573, 0.627], [0.232, 0.232, 0.965], [0.358, 0.966, 0.333], [0.700, 0.300, 0.000], [0.034, 0.642, 0.667], [0.642, 0.034, 0.667], [0.107, 0.107, 0.699], [0.893, 0.893, 0.301], [0.668, 0.668, 0.833], [0.657, 0.657, 0.330], [0.000, 0.000, 0.000], [0.000, 0.000, 0.500], [0.332, 0.332, 0.167], [0.343, 0.343, 0.670]]}

***

Copy entry 4 word for word.
{"formula": "Ce5DyOs3", "functional": "PBE", "state": "optimized geometry", "crystal_system": "monoclinic", "e_tot_ev_per_atom": -7.627, "sg": "C2/m", "e_form_ev_per_atom": -0.08, "magmom_total_mub_per_fu": 2.8, "lattice_angstrom": [[-6.714, -0.392, 3.817], [-2.850, -7.127, -0.944], [1.429, -5.283, 8.634]], "species": ["Ce", "Ce", "Ce", "Ce", "Ce", "Ce", "Ce", "Ce", "Ce", "Ce", "Dy", "Dy", "Os", "Os", "Os", "Os", "Os", "Os"], "fractional_positions": [[0.966, 0.358, 0.333], [0.300, 0.700, 0.000], [0.768, 0.768, 0.035], [0.427, 0.427, 0.373], [0.573, 0.573, 0.627], [0.232, 0.232, 0.965], [0.358, 0.966, 0.333], [0.700, 0.300, 0.000], [0.034, 0.642, 0.667], [0.642, 0.034, 0.667], [0.107, 0.107, 0.699], [0.893, 0.893, 0.301], [0.668, 0.668, 0.833], [0.657, 0.657, 0.330], [0.000, 0.000, 0.000], [0.000, 0.000, 0.500], [0.332, 0.332, 0.167], [0.343, 0.343, 0.670]]}